(1)
{"formula": "PrInI", "functional": "GGA-PBE", "state": "optimized geometry", "crystal_system": "trigonal", "dos_ef_per_ev_cell": 1.067, "formation_energy_uncorrected_kj_per_mol_atoms": -89, "lattice": [[2.3209, 1.3400, 12.1822], [-2.3209, 1.3400, 12.1822], [0.0000, -2.6799, 12.1822]], "species": ["Pr", "Pr", "In", "In", "I", "I"], "fractional_positions": [[0.0609, 0.0609, 0.0609], [0.9391, 0.9391, 0.9391], [0.3457, 0.3457, 0.3457], [0.6543, 0.6543, 0.6543], [0.2196, 0.2196, 0.2196], [0.7804, 0.7804, 0.7804]]}


(2)
{"formula": "Na4TbZr3S8", "functional": "GGA-PBE", "state": "optimized geometry", "crystal_system": "trigonal", "dos_ef_per_ev_cell": 7.129, "formation_energy_uncorrected_kj_per_mol_atoms": -150, "lattice": [[3.7644, 2.1734, 6.7943], [-3.7644, 2.1734, 6.7943], [0.0000, -4.3467, 6.7943]], "species": ["Na", "Na", "Na", "Na", "Tb", "Zr", "Zr", "Zr", "S", "S", "S", "S", "S", "S", "S", "S"], "fractional_positions": [[0.0000, 0.0000, 0.0000], [0.0000, 0.5000, 0.5000], [0.5000, 0.0000, 0.5000], [0.5000, 0.5000, 0.0000], [0.5000, 0.5000, 0.5000], [0.0000, 0.0000, 0.5000], [0.0000, 0.5000, 0.0000], [0.5000, 0.0000, 0.0000], [0.2320, 0.7477, 0.7477], [0.2412, 0.2412, 0.2412], [0.2523, 0.2523, 0.7680], [0.2523, 0.7680, 0.2523], [0.7477, 0.2320, 0.7477], [0.7477, 0.7477, 0.2320], [0.7588, 0.7588, 0.7588], [0.7680, 0.2523, 0.2523]]}


(3)
{"formula": "Pa4AlGa12", "functional": "GGA-PBE", "state": "optimized geometry", "crystal_system": "cubic", "dos_ef_per_ev_cell": 15.463, "formation_enthalpy_0k_ev_per_atom": -0.341, "lattice": [[-4.3450, 4.3450, 4.3450], [4.3450, -4.3450, 4.3450], [4.3450, 4.3450, -4.3450]], "species": ["Pa", "Pa", "Pa", "Pa", "Al", "Ga", "Ga", "Ga", "Ga", "Ga", "Ga", "Ga", "Ga", "Ga", "Ga", "Ga", "Ga"], "fractional_positions": [[0.0000, 0.0000, 0.5000], [0.0000, 0.5000, 0.0000], [0.5000, 0.0000, 0.0000], [0.5000, 0.5000, 0.5000], [0.0000, 0.0000, 0.0000], [0.0000, 0.2996, 0.2996], [0.0000, 0.7004, 0.7004], [0.2500, 0.5000, 0.7500], [0.2500, 0.7500, 0.5000], [0.2996, 0.0000, 0.2996], [0.2996, 0.2996, 0.0000], [0.5000, 0.2500, 0.7500], [0.5000, 0.7500, 0.2500], [0.7004, 0.0000, 0.7004], [0.7004, 0.7004, 0.0000], [0.7500, 0.2500, 0.5000], [0.7500, 0.5000, 0.2500]]}


(4)
{"formula": "Cs2LaPb2Se4", "functional": "GGA-PBE", "state": "optimized geometry", "crystal_system": "monoclinic", "dos_ef_per_ev_cell": 1.975, "formation_energy_uncorrected_kj_per_mol_atoms": -105, "lattice": [[9.4837, -2.3124, 0.0000], [9.4837, 2.3124, 0.0000], [-3.9370, 0.0000, 8.0182]], "species": ["Cs", "Cs", "La", "Pb", "Pb", "Se", "Se", "Se", "Se"], "fractional_positions": [[0.1239, 0.1239, 0.0654], [0.8761, 0.8761, 0.9346], [0.0000, 0.0000, 0.5000], [0.3195, 0.3195, 0.4580], [0.6805, 0.6805, 0.5420], [0.1734, 0.1734, 0.7243], [0.4781, 0.4781, 0.7098], [0.5219, 0.5219, 0.2902], [0.8266, 0.8266, 0.2757]]}


(5)
{"formula": "SmGa2Ni2Pt", "functional": "GGA-PBE", "state": "optimized geometry", "crystal_system": "tetragonal", "dos_ef_per_ev_cell": 2.364, "formation_enthalpy_0k_ev_per_atom": -0.132, "lattice": [[4.6953, 0.0000, 0.0000], [0.0000, 4.6953, 0.0000], [0.0000, 0.0000, 5.4104]], "species": ["Sm", "Ga", "Ga", "Ni", "Ni", "Pt"], "fractional_positions": [[0.0000, 0.0000, 0.0000], [0.0000, 0.5000, 0.5000], [0.5000, 0.0000, 0.5000], [0.5000, 0.5000, 0.2393], [0.5000, 0.5000, 0.7607], [0.0000, 0.0000, 0.5000]]}


(6)
{"formula": "BePb2Br", "functional": "GGA-PBE", "state": "optimized geometry", "crystal_system": "tetragonal", "dos_ef_per_ev_cell": 10.314, "e_above_lowest_polymorph_mev_per_atom": 145, "formation_energy_uncorrected_kj_per_mol_atoms": 25, "lattice": [[6.3021, 0.0000, 0.0000], [0.0000, 6.3021, 0.0000], [0.0000, 0.0000, 12.9916]], "species": ["Be", "Be", "Be", "Be", "Pb", "Pb", "Pb", "Pb", "Pb", "Pb", "Pb", "Pb", "Br", "Br", "Br", "Br"], "fractional_positions": [[0.0000, 0.0000, 0.0000], [0.0000, 0.5000, 0.2500], [0.5000, 0.0000, 0.7500], [0.5000, 0.5000, 0.5000], [0.1459, 0.2500, 0.1250], [0.2500, 0.6459, 0.3750], [0.2500, 0.8541, 0.8750], [0.3541, 0.2500, 0.6250], [0.6459, 0.7500, 0.6250], [0.7500, 0.1459, 0.8750], [0.7500, 0.3541, 0.3750], [0.8541, 0.7500, 0.1250], [0.0000, 0.0000, 0.5000], [0.0000, 0.5000, 0.7500], [0.5000, 0.0000, 0.2500], [0.5000, 0.5000, 0.0000]]}


(7)
{"formula": "Ce2Y2N3", "functional": "GGA-PBE", "state": "optimized geometry", "crystal_system": "monoclinic", "dos_ef_per_ev_cell": 14.774, "formation_energy_uncorrected_kj_per_mol_atoms": -104, "lattice": [[12.3671, 0.0000, 0.0000], [0.0000, 3.6816, 0.0000], [-0.8845, 0.0000, 6.4170]], "species": ["Ce", "Ce", "Ce", "Ce", "Y", "Y", "Y", "Y", "N", "N", "N", "N", "N", "N"], "fractional_positions": [[0.1431, 0.0000, 0.3519], [0.3569, 0.5000, 0.6481], [0.6431, 0.5000, 0.3519], [0.8569, 0.0000, 0.6481], [0.1053, 0.5000, 0.8716], [0.3947, 0.0000, 0.1284], [0.6053, 0.0000, 0.8716], [0.8947, 0.5000, 0.1284], [0.0000, 0.0000, 0.0000], [0.1641, 0.5000, 0.5603], [0.3359, 0.0000, 0.4397], [0.5000, 0.5000, 0.0000], [0.6641, 0.0000, 0.5603], [0.8359, 0.5000, 0.4397]]}


(8)
{"formula": "KNdPbBr6", "functional": "GGA-PBE", "state": "optimized geometry", "crystal_system": "trigonal", "dos_ef_per_ev_cell": 0.000, "formation_energy_uncorrected_kj_per_mol_atoms": -150, "lattice": [[7.7347, 0.0000, 0.0000], [-3.8674, 6.6985, 0.0000], [0.0000, 0.0000, 14.3032]], "species": ["K", "K", "Nd", "Nd", "Pb", "Pb", "Br", "Br", "Br", "Br", "Br", "Br", "Br", "Br", "Br", "Br", "Br", "Br"], "fractional_positions": [[0.0000, 0.0000, 0.0000], [0.0000, 0.0000, 0.5000], [0.3333, 0.6667, 0.2500], [0.6667, 0.3333, 0.7500], [0.3333, 0.6667, 0.7500], [0.6667, 0.3333, 0.2500], [0.0141, 0.3697, 0.1331], [0.0141, 0.6444, 0.3669], [0.3556, 0.3697, 0.3669], [0.3556, 0.9859, 0.1331], [0.3697, 0.0141, 0.6331], [0.3697, 0.3556, 0.8669], [0.6303, 0.6444, 0.1331], [0.6303, 0.9859, 0.3669], [0.6444, 0.0141, 0.8669], [0.6444, 0.6303, 0.6331], [0.9859, 0.3556, 0.6331], [0.9859, 0.6303, 0.8669]]}


(9)
{"formula": "NaLa3Ir", "functional": "GGA-PBE", "state": "optimized geometry", "crystal_system": "orthorhombic", "dos_ef_per_ev_cell": 14.622, "e_above_lowest_polymorph_mev_per_atom": 81, "formation_enthalpy_0k_ev_per_atom": -0.244, "lattice": [[5.1322, 0.0000, 0.0000], [0.0000, 7.4495, 0.0000], [0.0000, 0.0000, 8.6970]], "species": ["Na", "Na", "La", "La", "La", "La", "La", "La", "Ir", "Ir"], "fractional_positions": [[0.2500, 0.2500, 0.2059], [0.7500, 0.7500, 0.7941], [0.2500, 0.0144, 0.6468], [0.2500, 0.4856, 0.6468], [0.2500, 0.7500, 0.0813], [0.7500, 0.2500, 0.9187], [0.7500, 0.5144, 0.3532], [0.7500, 0.9856, 0.3532], [0.2500, 0.7500, 0.3951], [0.7500, 0.2500, 0.6049]]}


(10)
{"formula": "SbTeOs4", "functional": "GGA-PBE", "state": "optimized geometry", "crystal_system": "cubic", "dos_ef_per_ev_cell": 10.197, "formation_energy_uncorrected_kj_per_mol_atoms": 103, "lattice": [[0.0000, 3.7860, 3.7860], [3.7860, 0.0000, 3.7860], [3.7860, 3.7860, 0.0000]], "species": ["Sb", "Te", "Os", "Os", "Os", "Os"], "fractional_positions": [[0.0000, 0.0000, 0.0000], [0.7500, 0.7500, 0.7500], [0.3751, 0.3751, 0.3751], [0.3751, 0.3751, 0.8748], [0.3751, 0.8748, 0.3751], [0.8748, 0.3751, 0.3751]]}


(11)
{"formula": "Co3Ni2", "functional": "GGA-PBE", "state": "optimized geometry", "crystal_system": "trigonal", "dos_ef_per_ev_cell": 15.764, "e_above_lowest_polymorph_mev_per_atom": 3, "formation_enthalpy_0k_ev_per_atom": 0.004, "lattice": [[2.4869, 0.0000, 0.0000], [-1.2434, 2.1537, 0.0000], [0.0000, 0.0000, 30.5767]], "species": ["Co", "Co", "Co", "Co", "Co", "Co", "Co", "Co", "Co", "Ni", "Ni", "Ni", "Ni", "Ni", "Ni"], "fractional_positions": [[0.0000, 0.0000, 0.0000], [0.0000, 0.0000, 0.1993], [0.0000, 0.0000, 0.8007], [0.3333, 0.6667, 0.4674], [0.3333, 0.6667, 0.6667], [0.3333, 0.6667, 0.8659], [0.6667, 0.3333, 0.1341], [0.6667, 0.3333, 0.3333], [0.6667, 0.3333, 0.5326], [0.0000, 0.0000, 0.4000], [0.0000, 0.0000, 0.6000], [0.3333, 0.6667, 0.0667], [0.3333, 0.6667, 0.2666], [0.6667, 0.3333, 0.7334], [0.6667, 0.3333, 0.9333]]}


(12)
{"formula": "Sc2Ru", "functional": "GGA-PBE", "state": "optimized geometry", "crystal_system": "trigonal", "dos_ef_per_ev_cell": 2.952, "formation_enthalpy_0k_ev_per_atom": -0.334, "lattice": [[4.4548, 0.0000, 0.0000], [-2.2274, 3.8579, 0.0000], [0.0000, 0.0000, 3.2801]], "species": ["Sc", "Sc", "Ru"], "fractional_positions": [[0.3333, 0.6667, 0.2716], [0.6667, 0.3333, 0.7284], [0.0000, 0.0000, 0.0000]]}